(P)
This record from the Alexandria database describes a relaxed structure of YP2HO. The functional is PBE-GGA.

Computed properties:
Crystal system   tetragonal
D(E_F)   1.109 states/eV/atom
Space group   No. 123

Cell: 5.5296 5.5296 4.2813 Å, 90.00 90.00 90.00°
With the nearest neighbours (Å) after each atom.
Fractional positions:
Y 0.0000 0.0000 0.0000  2 O 2.14
P 0.0000 0.5000 0.0000  2 Y 2.76
P 0.5000 0.0000 0.0000  2 Y 2.76
O 0.0000 0.0000 0.5000  2 Y 2.14
H 0.5000 0.5000 0.5000  8 P 3.50, 4 O 3.91


(Q)
This record from the Alexandria database describes a relaxed structure of YP2HO. The functional is PBE-GGA.

Computed properties:
Crystal system   tetragonal
D(E_F)   0.297 states/eV/atom
Space group   No. 123

Cell: 3.4280 3.4280 5.5877 Å, 90.00 90.00 90.00°
With the nearest neighbours (Å) after each atom.
Fractional positions:
Y 0.5000 0.5000 0.5000  4 O 2.42
P 0.0000 0.5000 0.0000  2 H 1.71
P 0.5000 0.0000 0.0000  2 H 1.71
O 0.0000 0.0000 0.5000  4 Y 2.42
H 0.0000 0.0000 0.0000  4 P 1.71


Stability check: which of them is least stable? (P).


(P)
This record from the Alexandria database describes a relaxed structure of Zn2PHO5. The functional is PBE-GGA.

Computed properties:
Crystal system   triclinic
D(E_F)   0.000 states/eV/atom
Space group   No. 2

Cell: 5.6119 5.7659 6.6025 Å, 77.26 78.16 87.31°
With the nearest neighbours (Å) after each atom.
Fractional positions:
Zn 0.3867 0.2478 0.5084  5 O 1.99-2.20
Zn 0.6133 0.7522 0.4916  5 O 1.99-2.20
Zn 0.0306 0.7379 0.8103  5 O 2.00-2.23
Zn 0.9694 0.2621 0.1897  5 O 2.00-2.23
P 0.8396 0.2494 0.7231  4 O 1.55-1.56
P 0.1604 0.7506 0.2769  4 O 1.55-1.56
H 0.4426 0.9021 0.8199  1 O 0.98
H 0.5574 0.0979 0.1801  1 O 0.98
O 0.7785 0.9916 0.8464  1 P 1.55
O 0.2215 0.0084 0.1536  1 P 1.55
O 0.9443 0.3865 0.8650  1 P 1.56
O 0.0557 0.6135 0.1350  1 P 1.56
O 0.6040 0.3786 0.6648  1 P 1.56
O 0.3960 0.6214 0.3352  1 P 1.56
O 0.9686 0.7510 0.4851  1 P 1.56
O 0.0314 0.2490 0.5149  1 P 1.56
O 0.3636 0.8858 0.7037  1 H 0.98
O 0.6364 0.1142 0.2963  1 H 0.98


(Q)
This record from the Alexandria database describes a relaxed structure of Zn2PHO5. The functional is PBE-GGA.

Computed properties:
Crystal system   orthorhombic
D(E_F)   0.000 states/eV/atom
Space group   No. 58

Cell: 6.0641 8.2173 8.3896 Å, 90.00 90.00 90.00°
With the nearest neighbours (Å) after each atom.
Fractional positions:
Zn 0.7527 0.0000 0.5000  4 O 2.05-2.08
Zn 0.7473 0.5000 0.0000  4 O 2.05-2.08
Zn 0.2473 0.0000 0.5000  4 O 2.05-2.08
Zn 0.2527 0.5000 0.0000  4 O 2.05-2.08
Zn 0.0000 0.1357 0.8632  5 O 2.02-2.08
Zn 0.0000 0.8643 0.1368  5 O 2.02-2.08
Zn 0.5000 0.6357 0.6368  5 O 2.02-2.08
Zn 0.5000 0.3643 0.3632  5 O 2.02-2.08
P 0.5000 0.2497 0.7392  4 O 1.56-1.57
P 0.5000 0.7503 0.2609  4 O 1.56-1.57
P 0.0000 0.7497 0.7608  4 O 1.56-1.57
P 0.0000 0.2503 0.2392  4 O 1.56-1.57
H 0.0000 0.2241 0.5777  1 O 0.98
H 0.0000 0.7759 0.4223  1 O 0.98
H 0.5000 0.7241 0.9223  1 O 0.98
H 0.5000 0.2759 0.0777  1 O 0.98
O 0.0000 0.1149 0.6237  1 H 0.98
O 0.0000 0.8851 0.3763  1 H 0.98
O 0.5000 0.6149 0.8763  1 H 0.98
O 0.5000 0.3851 0.1237  1 H 0.98
O 0.7076 0.7337 0.1530  1 P 1.56
O 0.7076 0.2663 0.8470  1 P 1.56
O 0.7924 0.2337 0.3470  1 P 1.56
O 0.7924 0.7663 0.6530  1 P 1.56
O 0.0000 0.1137 0.1090  1 P 1.57
O 0.0000 0.8863 0.8910  1 P 1.57
O 0.5000 0.6137 0.3910  1 P 1.57
O 0.5000 0.3863 0.6090  1 P 1.57
O 0.0000 0.4163 0.1470  1 P 1.57
O 0.0000 0.5837 0.8530  1 P 1.57
O 0.5000 0.9163 0.3530  1 P 1.57
O 0.5000 0.0837 0.6470  1 P 1.57
O 0.2076 0.2337 0.3470  1 P 1.56
O 0.2076 0.7663 0.6530  1 P 1.56
O 0.2924 0.7337 0.1530  1 P 1.56
O 0.2924 0.2663 0.8470  1 P 1.56


Stability check: which of them is least stable? (Q).


(P)
This record from the Alexandria database describes a relaxed structure of PaHO. The functional is PBE-GGA.

Computed properties:
Crystal system   orthorhombic
D(E_F)   0.745 states/eV/atom
Space group   No. 62

Cell: 3.8135 5.3251 7.6684 Å, 90.00 90.00 90.00°
With the nearest neighbours (Å) after each atom.
Fractional positions:
H 0.7500 0.9982 0.1231  4 Pa 2.31-2.35
H 0.2500 0.4983 0.3769  4 Pa 2.31-2.35
H 0.2500 0.0018 0.8769  4 Pa 2.31-2.35
H 0.7500 0.5017 0.6231  4 Pa 2.31-2.35
Pa 0.7500 0.7536 0.3784  4 O 2.30-2.36, 4 H 2.31-2.35
Pa 0.2500 0.2536 0.1216  4 O 2.30-2.36, 4 H 2.31-2.35
Pa 0.2500 0.2464 0.6216  4 O 2.30-2.36, 4 H 2.31-2.35
Pa 0.7500 0.7464 0.8784  4 O 2.30-2.36, 4 H 2.31-2.35
O 0.7500 0.4946 0.1279  4 Pa 2.30-2.36
O 0.2500 0.9946 0.3721  4 Pa 2.30-2.36
O 0.2500 0.5054 0.8721  4 Pa 2.30-2.36
O 0.7500 0.0054 0.6279  4 Pa 2.30-2.36


(Q)
This record from the Alexandria database describes a relaxed structure of PaHO. The functional is PBE-GGA.

Computed properties:
Crystal system   trigonal
D(E_F)   0.921 states/eV/atom
Space group   No. 166

Cell: 3.8242 3.8242 6.5868 Å, 73.12 73.12 60.00°
With the nearest neighbours (Å) after each atom.
Fractional positions:
Pa 0.7520 0.7520 0.7441  4 O 2.31-2.36, 4 H 2.33-2.37
Pa 0.2480 0.2480 0.2559  4 O 2.31-2.36, 4 H 2.33-2.37
H 0.6270 0.6270 0.1190  4 Pa 2.33-2.37
H 0.3730 0.3730 0.8810  4 Pa 2.33-2.37
O 0.1214 0.1214 0.6358  4 Pa 2.31-2.36
O 0.8786 0.8786 0.3642  4 Pa 2.31-2.36


(R)
This record from the Alexandria database describes a relaxed structure of PaHO. The functional is PBE-GGA.

Computed properties:
Crystal system   trigonal
D(E_F)   0.663 states/eV/atom
Space group   No. 156

Cell: 3.5963 3.8157 3.8157 Å, 120.00 90.00 90.00°
With the nearest neighbours (Å) after each atom.
Fractional positions:
H 0.4410 0.3333 0.6667  3 Pa 2.26, 3 O 2.30
Pa 0.3065 0.6667 0.3333  3 O 2.21, 3 H 2.26
O 0.2525 0.0000 0.0000  3 Pa 2.21, 3 H 2.30


Stability check: which of them is least stable? (R).